The following is a PBE-GGA calculation of a relaxed Li2CrH6Rh crystal, from the Alexandria database.

Calculated values
As for the raw total energy: -4.28 eV/atom. Its density is 3.61 Mg/m³.

The structure in CIF format:
```
data_Li2CrH6Rh
_symmetry_space_group_name_H-M 'P -1'
_symmetry_Int_Tables_number 2
_symmetry_space_group_name_Hall '-P 1'
_cell_length_a 4.8157
_cell_length_b 4.8245
_cell_length_c 4.8443
_cell_angle_alpha 119.67
_cell_angle_beta 90.58
_cell_angle_gamma 119.33
loop_
_atom_site_label
_atom_site_type_symbol
_atom_site_fract_x
_atom_site_fract_y
_atom_site_fract_z
Li1 Li 0.2483 0.4882 0.2352
Cr1 Cr 0.0000 0.0000 0.5000
H1 H 0.1942 0.9901 0.1803
H2 H 0.2601 0.8997 0.6562
H3 H 0.3114 0.5143 0.8153
Rh1 Rh 0.5000 0.0000 0.0000
```